[1]
PBE SrAsBr2, relaxed; total moment = 3.0 μB per cell; volume = 30.2 Å³/atom; energy relative to the elements, uncorrected = -0.578 eV/atom; SG = No. 216; excess energy over the best structure of this formula in the dataset = 421 meV/atom; calculated total energy = -11.99 eV per cell; crystal system = cubic
1.0
5.547 0.000 0.000
2.774 4.804 0.000
2.774 1.601 4.529
Sr Br As
1 2 1
Direct
0.750 0.750 0.750
0.250 0.250 0.250
0.000 0.000 0.000
0.500 0.500 0.500

---

[2]
PBE Sr4AsBr, relaxed; total moment = 0.0 μB per cell; volume = 41.8 Å³/atom; energy relative to the elements, uncorrected = 0.047 eV/atom; SG = No. 216; calculated total energy = -12.77 eV per cell; crystal system = cubic
1.0
-0.131 -1.417 6.935
-1.356 5.169 4.644
-6.146 0.079 3.514
Sr Br As
4 1 1
Direct
0.871 0.376 0.376
0.376 0.376 0.376
0.376 0.376 0.871
0.376 0.871 0.376
0.000 0.000 0.000
0.750 0.750 0.750

---

[3]
PBE SrAsBr, relaxed; total moment = 0.0 μB per cell; volume = 34.5 Å³/atom; energy relative to the elements, uncorrected = -1.377 eV/atom; SG = No. 164; excess energy over the best structure of this formula in the dataset = 0 meV/atom; calculated total energy = -24.27 eV per cell; crystal system = trigonal
1.0
4.556 0.000 0.000
-2.278 3.946 0.000
0.000 0.000 11.505
Br Sr As
2 2 2
Direct
0.333 0.667 0.336
0.667 0.333 0.664
0.000 0.000 0.804
0.000 0.000 0.196
0.667 0.333 0.019
0.333 0.667 0.981

---

[4]
PBE Sr3AsBr2, relaxed; total moment = 0.0 μB per cell; volume = 32.8 Å³/atom; energy relative to the elements, uncorrected = -1.525 eV/atom; SG = No. 12; calculated total energy = -22.19 eV per cell; crystal system = monoclinic
1.0
-1.577 2.868 3.173
-4.551 -4.122 1.463
7.167 -2.250 2.336
As Sr Br
1 3 2
Direct
0.500 0.000 0.000
0.147 0.148 0.296
0.853 0.852 0.704
0.500 0.500 0.000
0.827 0.328 0.655
0.173 0.672 0.345

---

[5]
PBE SrAs2Br8, relaxed; total moment = 0.0 μB per cell; volume = 46.2 Å³/atom; energy relative to the elements, uncorrected = -0.813 eV/atom; SG = No. 12; calculated total energy = -33.30 eV per cell; crystal system = monoclinic
1.0
-6.997 2.676 -1.917
-4.805 -1.987 6.608
-0.563 7.314 4.109
Br As Sr
8 2 1
Direct
0.314 0.791 0.791
0.816 0.647 0.647
0.686 0.209 0.209
0.785 0.084 0.713
0.215 0.287 0.916
0.785 0.713 0.084
0.184 0.353 0.353
0.215 0.916 0.287
0.362 0.171 0.171
0.638 0.829 0.829
0.000 0.000 0.000

---

[6]
PBE SrTaAs2Br, relaxed; total moment = 0.4 μB per cell; volume = 32.8 Å³/atom; energy relative to the elements, uncorrected = -0.302 eV/atom; SG = No. 123; excess energy over the best structure of this formula in the dataset = 243 meV/atom; calculated total energy = -26.01 eV per cell; crystal system = tetragonal
1.0
-2.531 -4.021 1.165
5.148 -3.906 -2.293
2.008 0.029 4.461
As Br Ta Sr
2 1 1 1
Direct
0.000 0.000 0.500
0.500 0.000 0.000
0.500 0.500 0.500
0.000 0.000 0.000
0.000 0.500 0.000

---

[7]
PBE SrTaAs2Br, relaxed; total moment = 0.0 μB per cell; volume = 26.9 Å³/atom; energy relative to the elements, uncorrected = -0.545 eV/atom; SG = No. 123; excess energy over the best structure of this formula in the dataset = 0 meV/atom; calculated total energy = -27.23 eV per cell; crystal system = tetragonal
1.0
5.049 0.000 0.000
0.000 5.049 0.000
0.000 0.000 5.274
As Sr Br Ta
2 1 1 1
Direct
0.000 0.500 0.000
0.500 0.000 0.000
0.500 0.500 0.500
0.000 0.000 0.500
0.000 0.000 0.000

---

[8]
PBE SrTaAs2Br, relaxed; total moment = 1.9 μB per cell; volume = 33.9 Å³/atom; energy relative to the elements, uncorrected = 1.290 eV/atom; SG = No. 123; excess energy over the best structure of this formula in the dataset = 1835 meV/atom; calculated total energy = -18.05 eV per cell; crystal system = tetragonal
1.0
5.576 0.000 0.000
0.000 5.576 0.000
0.000 0.000 5.450
As Sr Ta Br
2 1 1 1
Direct
0.000 0.500 0.000
0.500 0.000 0.000
0.000 0.000 0.000
0.500 0.500 0.500
0.000 0.000 0.500

---

[9]
PBE SrTcAsBr2, relaxed; total moment = 0.5 μB per cell; volume = 26.8 Å³/atom; energy relative to the elements, uncorrected = -0.439 eV/atom; SG = No. 123; excess energy over the best structure of this formula in the dataset = 0 meV/atom; calculated total energy = -22.24 eV per cell; crystal system = tetragonal
1.0
5.298 0.000 0.000
0.000 5.298 0.000
0.000 0.000 4.776
Tc Br As Sr
1 2 1 1
Direct
0.000 0.000 0.000
0.000 0.500 0.000
0.500 0.000 0.000
0.000 0.000 0.500
0.500 0.500 0.500

---

[10]
PBE SrTcAsBr2, relaxed; total moment = 3.6 μB per cell; volume = 41.1 Å³/atom; energy relative to the elements, uncorrected = 0.460 eV/atom; SG = No. 123; excess energy over the best structure of this formula in the dataset = 899 meV/atom; calculated total energy = -17.74 eV per cell; crystal system = tetragonal
1.0
-2.528 -3.862 3.361
-1.272 -3.157 -4.584
5.477 -3.069 0.593
Br As Sr Tc
2 1 1 1
Direct
0.000 0.500 0.000
0.500 0.000 0.000
0.000 0.000 0.500
0.000 0.000 0.000
0.500 0.500 0.500

---

[11]
PBE SrTeAsBr2, relaxed; total moment = 2.1 μB per cell; volume = 42.5 Å³/atom; energy relative to the elements, uncorrected = -0.196 eV/atom; SG = No. 123; excess energy over the best structure of this formula in the dataset = 178 meV/atom; calculated total energy = -13.80 eV per cell; crystal system = tetragonal
1.0
-4.185 3.782 -0.099
-2.194 -2.546 -4.531
-3.646 -3.930 3.974
Br Sr As Te
2 1 1 1
Direct
0.500 0.000 0.000
0.000 0.500 0.000
0.000 0.000 0.000
0.000 0.000 0.500
0.500 0.500 0.500

---

[12]
PBE SrTeAsBr2, relaxed; total moment = 0.0 μB per cell; volume = 35.2 Å³/atom; energy relative to the elements, uncorrected = -0.374 eV/atom; SG = No. 123; excess energy over the best structure of this formula in the dataset = 0 meV/atom; calculated total energy = -14.69 eV per cell; crystal system = tetragonal
1.0
-2.406 -4.651 2.099
4.295 -3.012 -1.751
2.616 0.868 4.923
As Sr Br Te
1 1 2 1
Direct
0.000 0.500 0.000
0.500 0.500 0.500
0.000 0.000 0.500
0.500 0.000 0.000
0.000 0.000 0.000

---

[13]
PBE Sr4Te2AsBr, relaxed; total moment = 0.0 μB per cell; volume = 35.5 Å³/atom; energy relative to the elements, uncorrected = -1.635 eV/atom; SG = No. 10; calculated total energy = -32.41 eV per cell; crystal system = monoclinic
1.0
4.660 0.000 0.000
0.000 8.029 -0.207
0.000 2.781 7.522
Sr Te As Br
4 2 1 1
Direct
0.500 0.268 0.730
0.500 0.732 0.270
0.000 0.745 0.731
0.000 0.255 0.269
0.500 0.000 0.500
0.000 0.000 0.000
0.000 0.500 0.500
0.500 0.500 0.000

---

[14]
PBE Sr6TeAs2Br3, relaxed; total moment = 0.0 μB per cell; volume = 34.3 Å³/atom; energy relative to the elements, uncorrected = -1.582 eV/atom; SG = No. 12; calculated total energy = -46.54 eV per cell; crystal system = monoclinic
1.0
4.604 0.000 0.000
0.000 9.163 0.422
-2.302 -2.544 9.631
Br Sr As Te
3 6 2 1
Direct
0.836 0.166 0.672
0.164 0.834 0.328
0.500 0.500 0.000
0.675 0.564 0.350
0.668 0.112 0.336
0.332 0.888 0.664
0.325 0.436 0.650
0.011 0.254 0.022
0.989 0.746 0.978
0.833 0.666 0.666
0.167 0.334 0.334
0.500 0.000 0.000